The following is a DFT calculation (PBE-GGA) of crystalline KRh at its relaxed geometry.

abc: 2.8587 2.8587 5.3663
angles: 90.00 90.00 104.60
With the nearest neighbours (Å) after each atom.
Sites, in units of the cell vectors:
K: 0.0000 0.0000 0.0000  4 K 2.86
Rh: 0.5000 0.5000 0.5000  4 Rh 2.86

Calculated values
Mass density, kg/m3: 5556
Crystal system: orthorhombic
Spin magnetization, μB/cell: 0.7
Relative energy among the computed polymorphs, meV/atom: 436
Formation energy, meV/atom: 805.1